[1]
The following is a DFT calculation (PBE) of a relaxed K3ReBr crystal.

Results
As for the space group: Pm-3m. The excess energy over the best structure of this formula in the dataset comes out at 0 meV/atom. The value obtained for the total magnetization is 4.02 μB/f.u. The density of states at the Fermi level comes out at 6.4 states/eV/cell. Its uncorrected formation energy is 0.665 eV per atom.

Cell: 6.185 6.185 6.185 Å, 90.00 90.00 90.00°
Fractional positions:
K 0.000 0.000 0.500
K 0.000 0.500 0.000
K 0.500 0.000 0.000
Re 0.500 0.500 0.500
Br 0.000 0.000 0.000



[2]
The following is a DFT calculation (PBE) of a relaxed PmHN crystal.

Results
As for the space group: Pm. The excess energy over the best structure of this formula in the dataset comes out at 228 meV/atom. The value obtained for the total magnetization is 0.00 μB/f.u. The density of states at the Fermi level comes out at 0.9 states/eV/cell.

Cell: 3.537 3.537 3.922 Å, 90.00 90.07 90.00°
Fractional positions:
Pm 0.000 0.000 0.000
H 0.499 0.500 0.681
N 0.500 0.500 0.951



[3]
The following is a DFT calculation (PBE) of a relaxed CaEr3Zn2 crystal.

Results
As for the space group: Pmc2_1. The value obtained for the total magnetization is 0.00 μB/f.u. The formation energy is -0.77 eV/f.u. The density of states at the Fermi level comes out at 13.0 states/eV/cell.

Cell: 3.730 9.874 8.805 Å, 90.00 90.00 90.00°
Fractional positions:
Ca 0.000 0.097 0.000
Ca 0.000 0.903 0.500
Er 0.000 0.296 0.656
Er 0.000 0.704 0.156
Er 0.500 0.207 0.346
Er 0.500 0.438 0.983
Er 0.500 0.562 0.483
Er 0.500 0.793 0.846
Zn 0.000 0.421 0.263
Zn 0.000 0.579 0.763
Zn 0.500 0.073 0.702
Zn 0.500 0.927 0.202



[4]
The following is a DFT calculation (PBE) of a relaxed Tm5ScTl6 crystal.

Results
As for the space group: Cmmm. The value obtained for the total magnetization is 0.00 μB/f.u. The formation energy is -3.38 eV/f.u. The density of states at the Fermi level comes out at 9.0 states/eV/cell.

Cell: 8.408 8.408 7.342 Å, 90.00 90.00 143.09°
Fractional positions:
Tm 0.000 0.000 0.000
Tm 0.332 0.668 0.000
Tm 0.334 0.666 0.500
Tm 0.666 0.334 0.500
Tm 0.668 0.332 0.000
Sc 0.000 0.000 0.500
Tl 0.164 0.836 0.253
Tl 0.164 0.836 0.747
Tl 0.500 0.500 0.254
Tl 0.500 0.500 0.746
Tl 0.836 0.164 0.253
Tl 0.836 0.164 0.747



[5]
The following is a DFT calculation (PBE) of a relaxed LaBPb2N crystal.

Results
As for the space group: P4/mmm. The value obtained for the total magnetization is 0.00 μB/f.u. The density of states at the Fermi level comes out at 3.9 states/eV/cell. Its uncorrected formation energy is 1.416 eV per atom.

Cell: 6.373 6.373 4.099 Å, 90.00 90.00 90.00°
Fractional positions:
La 0.000 0.000 0.000
B 0.500 0.500 0.500
Pb 0.000 0.500 0.000
Pb 0.500 0.000 0.000
N 0.000 0.000 0.500



[6]
The following is a DFT calculation (PBE) of a relaxed TbHoBe crystal.

Results
As for the space group: I4mm. The excess energy over the best structure of this formula in the dataset comes out at 0 meV/atom. The value obtained for the total magnetization is 0.00 μB/f.u. The formation energy is 0.26 eV/f.u. The density of states at the Fermi level comes out at 3.2 states/eV/cell.

Cell: 6.465 6.465 6.465 Å, 148.95 148.95 44.48°
Fractional positions:
Tb 0.000 0.000 0.000
Ho 0.271 0.271 0.000
Be 0.639 0.639 0.000



[7]
The following is a DFT calculation (PBE) of a relaxed TmTh4Fe4 crystal.

Results
As for the space group: P4_2/n. The value obtained for the total magnetization is 0.00 μB/f.u. The formation energy is 0.05 eV/f.u. The density of states at the Fermi level comes out at 15.9 states/eV/cell.

Cell: 8.521 8.521 5.457 Å, 90.00 90.00 90.00°
Fractional positions:
Tm 0.250 0.250 0.250
Tm 0.750 0.750 0.750
Th 0.053 0.667 0.181
Th 0.167 0.947 0.681
Th 0.333 0.553 0.681
Th 0.447 0.833 0.181
Th 0.553 0.167 0.819
Th 0.667 0.447 0.319
Th 0.833 0.053 0.319
Th 0.947 0.333 0.819
Fe 0.034 0.615 0.659
Fe 0.115 0.966 0.159
Fe 0.385 0.534 0.159
Fe 0.466 0.885 0.659
Fe 0.534 0.115 0.341
Fe 0.615 0.466 0.841
Fe 0.885 0.034 0.841
Fe 0.966 0.385 0.341



[8]
The following is a DFT calculation (PBE) of a relaxed Fe2NiI crystal.

Results
As for the space group: I-42d. The excess energy over the best structure of this formula in the dataset comes out at 0 meV/atom. The value obtained for the total magnetization is 5.32 μB/f.u. The density of states at the Fermi level comes out at 9.0 states/eV/cell. Its uncorrected formation energy is 0.740 eV per atom.

Cell: 9.675 9.675 9.675 Å, 158.11 158.11 31.15°
Fractional positions:
Fe 0.104 0.625 0.979
Fe 0.375 0.354 0.479
Fe 0.646 0.125 0.021
Fe 0.875 0.896 0.521
Ni 0.000 0.000 0.000
Ni 0.750 0.250 0.500
I 0.250 0.750 0.500
I 0.500 0.500 0.000



[9]
The following is a DFT calculation (PBE) of a relaxed Li2MgPd2 crystal.

Results
As for the space group: I4/mmm. The excess energy over the best structure of this formula in the dataset comes out at 148 meV/atom. The value obtained for the total magnetization is 0.00 μB/f.u. The formation energy is -1.56 eV/f.u. The density of states at the Fermi level comes out at 1.5 states/eV/cell.

Cell: 7.055 7.055 7.055 Å, 151.65 151.65 40.52°
Fractional positions:
Li 0.250 0.750 0.500
Li 0.750 0.250 0.500
Mg 0.000 0.000 0.000
Pd 0.396 0.396 0.000
Pd 0.604 0.604 0.000



[10]
The following is a DFT calculation (PBE) of a relaxed MnVNi2C crystal.

Results
As for the space group: P4/mmm. The value obtained for the total magnetization is 2.13 μB/f.u. The formation energy is -0.04 eV/f.u. The density of states at the Fermi level comes out at 2.9 states/eV/cell.

Cell: 3.768 3.768 3.980 Å, 90.00 90.00 90.00°
Fractional positions:
Mn 0.000 0.000 0.000
V 0.500 0.500 0.000
Ni 0.000 0.500 0.500
Ni 0.500 0.000 0.500
C 0.500 0.500 0.500



[11]
The following is a DFT calculation (PBE) of a relaxed ZnCdAgAu2 crystal.

Results
As for the space group: P3m1. The value obtained for the total magnetization is 0.00 μB/f.u. The formation energy is 0.00 eV/f.u. The density of states at the Fermi level comes out at 1.6 states/eV/cell.

Cell: 4.175 4.175 6.983 Å, 90.00 90.00 120.00°
Fractional positions:
Zn 0.000 0.000 0.000
Cd 0.333 0.667 0.606
Ag 0.667 0.333 0.211
Au 0.000 0.000 0.402
Au 0.667 0.333 0.818



[12]
The following is a DFT calculation (PBE) of a relaxed DyThAgRh crystal.

Results
As for the space group: F-43m. The value obtained for the total magnetization is 0.00 μB/f.u. The formation energy is -1.84 eV/f.u. The density of states at the Fermi level comes out at 2.6 states/eV/cell.

Cell: 5.090 5.090 5.090 Å, 60.00 60.00 60.00°
Fractional positions:
Dy 0.000 0.000 0.000
Th 0.500 0.500 0.500
Ag 0.750 0.750 0.750
Rh 0.250 0.250 0.250